No. 1
## BaCa2Dy (GGA-PBE)

Data for a geometry-optimized BaCa2Dy structure.

Calculated values
- Formation energy from the elements: 143 meV per atom
- N(E_F): 6.38 states/eV per cell
- SG: No. 166
- Uncorrected energy: -2.4889 eV/atom
- Energy above the lowest structure with this stoichiometry: 26.3 meV/atom

a = 13.1132 Å, b = 13.1132 Å, c = 13.1132 Å
α = 17.03°, β = 17.03°, γ = 17.03°
With the nearest neighbours (Å) after each atom.
Positions (direct):
Ba1 0.0000 0.0000 0.0000  6 Ba 3.88, 6 Ca 4.14
Ca1 0.2434 0.2434 0.2434  3 Dy 3.73, 6 Ca 3.88, 3 Ba 4.14
Ca2 0.7566 0.7566 0.7566  3 Dy 3.73, 6 Ca 3.88, 3 Ba 4.14
Dy1 0.5000 0.5000 0.5000  6 Ca 3.73, 6 Dy 3.88


No. 2
## BaCa2Dy (GGA-PBE)

Data for a geometry-optimized BaCa2Dy structure.

Calculated values
- Formation energy from the elements: 175 meV per atom
- N(E_F): 5.32 states/eV per cell
- SG: No. 123
- Uncorrected energy: -2.4570 eV/atom
- Energy above the lowest structure with this stoichiometry: 58.3 meV/atom

a = 6.2378 Å, b = 6.2378 Å, c = 4.2996 Å
α = 90.00°, β = 90.00°, γ = 90.00°
With the nearest neighbours (Å) after each atom.
Positions (direct):
Ba1 0.0000 0.0000 0.0000  8 Ca 3.79
Ca1 0.0000 0.5000 0.5000  4 Dy 3.79, 4 Ba 3.79
Ca2 0.5000 0.0000 0.5000  4 Dy 3.79, 4 Ba 3.79
Dy1 0.5000 0.5000 0.0000  8 Ca 3.79


Please write out number 2 again, unchanged.
## BaCa2Dy (GGA-PBE)

Data for a geometry-optimized BaCa2Dy structure.

Calculated values
- Formation energy from the elements: 175 meV per atom
- N(E_F): 5.32 states/eV per cell
- SG: No. 123
- Uncorrected energy: -2.4570 eV/atom
- Energy above the lowest structure with this stoichiometry: 58.3 meV/atom

a = 6.2378 Å, b = 6.2378 Å, c = 4.2996 Å
α = 90.00°, β = 90.00°, γ = 90.00°
With the nearest neighbours (Å) after each atom.
Positions (direct):
Ba1 0.0000 0.0000 0.0000  8 Ca 3.79
Ca1 0.0000 0.5000 0.5000  4 Dy 3.79, 4 Ba 3.79
Ca2 0.5000 0.0000 0.5000  4 Dy 3.79, 4 Ba 3.79
Dy1 0.5000 0.5000 0.0000  8 Ca 3.79


- What is the formula in the first record?
  BaCa2Dy


- What is the energy above the lowest structure with this stoichiometry in the second record?
  58.3 meV/atom


- What is the energy above the lowest structure with this stoichiometry in the first record?
  26.3 meV/atom